A relaxed SrZn3Rh crystal. Source: the Alexandria database, functional PBE-GGA.

Cell and atoms, written as POSCAR:
```
SrZn3Rh
1.0
-4.178 -0.636 -0.089
2.283 -1.406 3.268
-2.605 15.901 8.659
Sr Zn Rh
2 6 2
Direct
0.000 0.000 0.000
0.000 0.000 0.500
0.000 0.000 0.250
0.000 0.000 0.750
0.333 0.667 0.881
0.333 0.667 0.619
0.667 0.333 0.381
0.667 0.333 0.119
0.333 0.667 0.750
0.667 0.333 0.250
```

calculated density: 4.539 g/cm3
total DFT energy (no corrections): -2.35 eV/atom
energy above the lowest structure with this stoichiometry: 573.0 meV/atom
size of the total moment: 0.000 μB per atom